A plane-wave DFT calculation with GGA-PBE was carried out for CsTc3Cl after structural relaxation.

Cell and atoms, written as POSCAR:
```
CsTc3Cl
1.0
5.129 0.000 0.000
0.000 5.129 0.000
0.000 0.000 5.129
Cs Tc Cl
1 3 1
direct
0.000 0.000 0.000
0.000 0.000 0.500
0.000 0.500 0.000
0.500 0.000 0.000
0.500 0.500 0.500
```

Calculated values
Its total energy is -18.2 eV/cell. The formation energy from raw total energies comes out at 1508 kJ/mol of formula units. The calculation puts the excess energy over the best structure of this formula in the dataset at 1.3082 eV/atom.

A plane-wave DFT calculation with GGA-PBE was carried out for CsTcCl5 after structural relaxation.

Cell and atoms, written as POSCAR:
```
CsTcCl5
1.0
-4.006 4.977 3.451
4.006 -4.977 3.451
4.006 4.977 -3.451
Cs Tc Cl
1 1 5
direct
0.000 0.000 0.000
0.515 0.015 0.500
0.182 0.682 0.500
0.503 0.296 0.793
0.503 0.710 0.207
0.567 0.238 0.329
0.909 0.238 0.671
```

Calculated values
Its total energy is -27.5 eV/cell. The formation energy from raw total energies comes out at -684 kJ/mol of formula units.